(1)
First-principles (GGA-PBE) data for an optimized crystal structure of TbZrNi2, as listed in the Alexandria database.

The space group is P4/mmm (No. 123) and the conventional cell measures 3.298, 3.298 and 6.688 Å, with angles of 90.00, 90.00 and 90.00 degrees. The inequivalent atoms are Tb at (0.000, 0.000, 0.000), Zr at (0.000, 0.000, 0.500) and Ni at (0.500, 0.500, 0.289).

The energy of formation is -142.0 kJ/mol of formula units. As for the total magnetization: 0.0 Bohr magnetons per cell. As for the calculated total energy: -26.213 eV for the cell shown.

(2)
First-principles (GGA-PBE) data for an optimized crystal structure of Tb2ZrNi9, as listed in the Alexandria database.

The space group is R-3m (No. 166, hexagonal axes) and the conventional cell measures 4.8936, 4.8936 and 24.4731 Å, with angles of 90.00, 90.00 and 120.00 degrees. The inequivalent atoms are Tb at (0.0000, 0.0000, 0.1374), Zr at (0.0000, 0.0000, 0.0000), Ni at (0.0000, 0.0000, 0.3333), Ni at (0.0000, 0.0000, 0.5000) and Ni at (0.9995, 0.4998, 0.0809).

The energy of formation is -435.6 kJ/mol of formula units. As for the total magnetization: 0.0 Bohr magnetons per cell. As for the calculated total energy: -223.065 eV for the cell shown.

(3)
First-principles (GGA-PBE) data for an optimized crystal structure of TbZrNi10, as listed in the Alexandria database.

The space group is Pmmm (No. 47) and the conventional cell measures 3.962, 4.816 and 8.344 Å, with angles of 90.00, 90.00 and 90.00 degrees. The inequivalent atoms are Tb at (0.000, 0.000, 0.000), Zr at (0.000, 0.500, 0.500), Ni at (0.000, 0.000, 0.340), Ni at (0.000, 0.500, 0.174), Ni at (0.500, 0.000, 0.500), Ni at (0.500, 0.253, 0.256) and Ni at (0.500, 0.500, 0.000).

The energy of formation is -354.3 kJ/mol of formula units. As for the total magnetization: 2.5 Bohr magnetons per cell. As for the calculated total energy: -74.664 eV for the cell shown.

(4)
First-principles (GGA-PBE) data for an optimized crystal structure of Tb2Zr2Ni15, as listed in the Alexandria database.

The space group is R-3m (No. 166, hexagonal axes) and the conventional cell measures 8.4563, 8.4563 and 12.5676 Å, with angles of 90.00, 90.00 and 120.00 degrees. The inequivalent atoms are Tb at (0.0000, 0.0000, 0.1439), Zr at (0.0000, 0.0000, 0.3913), Ni at (0.0000, 0.3026, 0.5000), Ni at (0.0000, 0.5000, 0.0000) and Ni at (0.0056, 0.5028, 0.6557).

The energy of formation is -510.7 kJ/mol of formula units. As for the total magnetization: 3.3 Bohr magnetons per cell. As for the calculated total energy: -355.108 eV for the cell shown.

(5)
First-principles (GGA-PBE) data for an optimized crystal structure of TbZr2Ni, as listed in the Alexandria database.

The space group is R3m (No. 160, hexagonal axes) and the conventional cell measures 4.0174, 4.0174 and 20.5965 Å, with angles of 90.00, 90.00 and 120.00 degrees. The inequivalent atoms are Tb at (0.0000, 0.0000, 0.0000), Zr at (0.0000, 0.0000, 0.5547), Zr at (0.0000, 0.0000, 0.7807) and Ni at (0.0000, 0.0000, 0.1696).

The energy of formation is 35.3 kJ/mol of formula units. As for the total magnetization: 0.0 Bohr magnetons per cell. As for the calculated total energy: -81.427 eV for the cell shown.

(6)
First-principles (GGA-PBE) data for an optimized crystal structure of Tb2ZrNi9, as listed in the Alexandria database.

The space group is P6_3/mmc (No. 194) and the conventional cell measures 4.8955, 4.8955 and 16.3071 Å, with angles of 90.00, 90.00 and 120.00 degrees. The inequivalent atoms are Tb at (0.3333, 0.6667, 0.0439), Zr at (0.3333, 0.6667, 0.2500), Ni at (0.0000, 0.0000, 0.0000), Ni at (0.0000, 0.0000, 0.2500), Ni at (0.1668, 0.3335, 0.6286) and Ni at (0.3333, 0.6667, 0.7500).

The energy of formation is -435.7 kJ/mol of formula units. As for the total magnetization: 0.0 Bohr magnetons per cell. As for the calculated total energy: -148.713 eV for the cell shown.

(7)
First-principles (GGA-PBE) data for an optimized crystal structure of TcNi, as listed in the Alexandria database.

The space group is Pmmn (No. 59, origin choice 2) and the conventional cell measures 2.678, 4.169 and 4.604 Å, with angles of 90.00, 90.00 and 90.00 degrees. The inequivalent atoms are Tc at (0.250, 0.250, 0.096) and Ni at (0.250, 0.750, 0.428).

The energy of formation is 7.1 kJ/mol of formula units. As for the total magnetization: 0.0 Bohr magnetons per cell. As for the calculated total energy: -32.148 eV for the cell shown.

(8)
First-principles (GGA-PBE) data for an optimized crystal structure of Tc3Ni, as listed in the Alexandria database.

The space group is P4/mmm (No. 123) and the conventional cell measures 2.674, 2.674 and 7.681 Å, with angles of 90.00, 90.00 and 90.00 degrees. The inequivalent atoms are Tc at (0.000, 0.000, 0.000), Tc at (0.500, 0.500, 0.258) and Ni at (0.000, 0.000, 0.500).

The energy of formation is 27.2 kJ/mol of formula units. As for the total magnetization: 0.0 Bohr magnetons per cell. As for the calculated total energy: -36.597 eV for the cell shown.

(9)
First-principles (GGA-PBE) data for an optimized crystal structure of TcNi, as listed in the Alexandria database.

The space group is Pm-3m (No. 221) and the conventional cell measures 2.947, 2.947 and 2.947 Å, with angles of 90.00, 90.00 and 90.00 degrees. The inequivalent atoms are Tc at (0.000, 0.000, 0.000) and Ni at (0.500, 0.500, 0.500).

The energy of formation is 54.4 kJ/mol of formula units. As for the total magnetization: 0.2 Bohr magnetons per cell. As for the calculated total energy: -15.583 eV for the cell shown.

(10)
First-principles (GGA-PBE) data for an optimized crystal structure of TcNi3, as listed in the Alexandria database.

The space group is P4/mmm (No. 123) and the conventional cell measures 2.565, 2.565 and 7.160 Å, with angles of 90.00, 90.00 and 90.00 degrees. The inequivalent atoms are Tc at (0.000, 0.000, 0.000), Ni at (0.000, 0.000, 0.500) and Ni at (0.500, 0.500, 0.259).

The energy of formation is 1.3 kJ/mol of formula units. As for the total magnetization: 0.0 Bohr magnetons per cell. As for the calculated total energy: -27.696 eV for the cell shown.

(11)
First-principles (GGA-PBE) data for an optimized crystal structure of TcNi, as listed in the Alexandria database.

The space group is F-43m (No. 216) and the conventional cell measures 5.241, 5.241 and 5.241 Å, with angles of 90.00, 90.00 and 90.00 degrees. The inequivalent atoms are Tc at (0.000, 0.000, 0.000) and Ni at (0.250, 0.250, 0.250).

The energy of formation is 266.6 kJ/mol of formula units. As for the total magnetization: 0.0 Bohr magnetons per cell. As for the calculated total energy: -53.535 eV for the cell shown.

(12)
First-principles (GGA-PBE) data for an optimized crystal structure of TcNi, as listed in the Alexandria database.

The space group is P6_3/mmc (No. 194) and the conventional cell measures 4.0450, 4.0450 and 4.7784 Å, with angles of 90.00, 90.00 and 120.00 degrees. The inequivalent atoms are Tc at (0.3333, 0.6667, 0.2500) and Ni at (0.3333, 0.6667, 0.7500).

The energy of formation is 232.8 kJ/mol of formula units. As for the total magnetization: 0.0 Bohr magnetons per cell. As for the calculated total energy: -27.469 eV for the cell shown.

- What is the formula in the tenth record?
  TcNi3

- calculated total energy of number 3 (TbZrNi10)?
  -74.664 eV for the cell shown

- energy of formation of number 2 (Tb2ZrNi9)?
  -435.6 kJ/mol of formula units

- Which of these has the lowest calculated total energy?
  Tb2Zr2Ni15